Computed, not measured: an optimized crystal structure of ZrCuOs4 at the PBE-GGA level of DFT.

Unit cell a=5.179 b=5.179 c=5.179 alpha=60.00 beta=60.00 gamma=60.00
Fractional positions:
1 Os 0.375 0.375 0.375
2 Os 0.375 0.375 0.876
3 Os 0.876 0.375 0.375
4 Zr 0.750 0.750 0.750
5 Cu 0.000 0.000 0.000
6 Os 0.375 0.876 0.375

Properties
Uncorrected energy: -9.40 eV/atom
DOS(E_F): 1.297 states/eV/atom
ΔE_f: 191 meV per atom